Record 1
A crystal of TlIr2Cl relaxed with PBEsol. Source: Alexandria via LeMat-Bulk, functional SCAN.

a b c (Å): 2.978 2.978 7.357
angles (deg): 90.00 90.00 90.00
Sites, in units of the cell vectors:
Tl  0.000  0.000  0.000
Ir  0.500  0.500  0.264
Ir  0.500  0.500  0.736
Cl  0.000  0.000  0.500

Density, g/cm³: 15.9
Formation energy from raw total energies, eV per formula unit: 4.63
SG: P4/mmm
Distance to the lowest polymorph of the same formula, eV per formula unit: 3.39

Record 2
A crystal of CsB3Sb relaxed with PBEsol. Source: Alexandria via LeMat-Bulk, functional SCAN.

a b c (Å): 4.714 4.714 4.714
angles (deg): 90.00 90.00 90.00
Sites, in units of the cell vectors:
Cs  0.000  0.000  0.000
B  0.000  0.000  0.500
B  0.000  0.500  0.000
B  0.500  0.000  0.000
Sb  0.500  0.500  0.500

Density, g/cm³: 4.6
Formation energy from raw total energies, eV per formula unit: 16.49
SG: Pm-3m

Record 3
A crystal of HgPtSe2 relaxed with PBEsol. Source: Alexandria via LeMat-Bulk, functional SCAN.

a b c (Å): 7.900 7.900 7.900
angles (deg): 27.23 27.23 27.23
Sites, in units of the cell vectors:
Hg  0.000  0.000  0.000
Pt  0.500  0.500  0.500
Se  0.224  0.224  0.224
Se  0.776  0.776  0.776

Density, g/cm³: 10.1
Formation energy from raw total energies, eV per formula unit: -1.36
SG: R-3m
Distance to the lowest polymorph of the same formula, eV per formula unit: 0.00

Record 4
A crystal of BaLa3In relaxed with PBEsol. Source: Alexandria via LeMat-Bulk, functional SCAN.

a b c (Å): 6.080 6.080 6.080
angles (deg): 90.00 90.00 90.00
Sites, in units of the cell vectors:
Ba  0.000  0.000  0.000
La  0.000  0.500  0.500
La  0.500  0.000  0.500
La  0.500  0.500  0.000
In  0.500  0.500  0.500

Energy of formation, eV per formula unit: 0.36
Density, g/cm³: 4.9
SG: Pm-3m
Distance to the lowest polymorph of the same formula, eV per formula unit: 0.00

> Which formula does entry 4 have?

BaLa3In